(1)
A relaxed Cu3Pd crystal. Source: the Alexandria database, functional PBEsol.

Computed properties:
Uncorrected energy = -135.44 eV per cell
Magnetic moment = 0.000 μB/atom
Space-group type = No. 123

Cell: 3.6610 3.6610 25.3969 Å, 90.00 90.00 90.00°
With the nearest neighbours (Å) after each atom.
Positions (direct):
Cu 0.5000 0.0000 0.1432  8 Cu 2.57-2.59, 4 Pd 2.58
Cu 0.5000 0.5000 0.9285  8 Cu 2.58, 4 Pd 2.59
Cu 0.0000 0.0000 0.6430  8 Cu 2.57-2.58, 4 Pd 2.59
Cu 0.5000 0.5000 0.7855  8 Cu 2.57, 4 Pd 2.59
Cu 0.5000 0.0000 0.2858  4 Pd 2.57, 8 Cu 2.57-2.59
Cu 0.0000 0.5000 0.7142  4 Pd 2.57, 8 Cu 2.57-2.59
Cu 0.5000 0.0000 0.8568  8 Cu 2.57-2.59, 4 Pd 2.58
Cu 0.5000 0.5000 0.0715  8 Cu 2.58, 4 Pd 2.59
Cu 0.5000 0.0000 0.5716  8 Cu 2.58-2.59, 4 Pd 2.58
Cu 0.0000 0.5000 0.1432  8 Cu 2.57-2.59, 4 Pd 2.58
Cu 0.0000 0.5000 0.4284  8 Cu 2.58-2.59, 4 Pd 2.58
Cu 0.5000 0.0000 0.7142  4 Pd 2.57, 8 Cu 2.57-2.59
Cu 0.0000 0.5000 0.8568  8 Cu 2.57-2.59, 4 Pd 2.58
Cu 0.0000 0.5000 0.5716  8 Cu 2.58-2.59, 4 Pd 2.58
Cu 0.0000 0.0000 0.3570  8 Cu 2.57-2.58, 4 Pd 2.59
Cu 0.5000 0.0000 0.4284  8 Cu 2.58-2.59, 4 Pd 2.58
Cu 0.5000 0.5000 0.2145  8 Cu 2.57, 4 Pd 2.59
Cu 0.0000 0.5000 0.2858  4 Pd 2.57, 8 Cu 2.57-2.59
Cu 0.0000 0.0000 0.5000  8 Cu 2.58, 4 Pd 2.59
Cu 0.0000 0.5000 0.0000  8 Cu 2.58-2.59, 4 Pd 2.58
Cu 0.5000 0.0000 0.0000  8 Cu 2.58-2.59, 4 Pd 2.58
Pd 0.5000 0.5000 0.3569  12 Cu 2.57-2.59
Pd 0.0000 0.0000 0.9282  12 Cu 2.58-2.59
Pd 0.5000 0.5000 0.6431  12 Cu 2.57-2.59
Pd 0.0000 0.0000 0.7853  12 Cu 2.57-2.59
Pd 0.5000 0.5000 0.5000  12 Cu 2.58-2.59
Pd 0.0000 0.0000 0.0718  12 Cu 2.58-2.59
Pd 0.0000 0.0000 0.2147  12 Cu 2.57-2.59

---

(2)
A relaxed Cu3Pd2 crystal. Source: the Alexandria database, functional PBEsol.

Computed properties:
Uncorrected energy = -50.80 eV per cell
Magnetic moment = 0.000 μB/atom
Space-group type = No. 123

Cell: 2.9559 2.9559 14.4628 Å, 90.00 90.00 90.00°
With the nearest neighbours (Å) after each atom.
Positions (direct):
Cu 0.5000 0.5000 0.0895  5 Cu 2.46-2.59, 4 Pd 2.56
Cu 0.5000 0.5000 0.2951  8 Pd 2.56-2.57
Cu 0.5000 0.5000 0.5000  8 Pd 2.56
Cu 0.5000 0.5000 0.7049  8 Pd 2.56-2.57
Cu 0.5000 0.5000 0.9105  5 Cu 2.46-2.59, 4 Pd 2.56
Cu 0.0000 0.0000 0.0000  8 Cu 2.46
Pd 0.0000 0.0000 0.1917  9 Cu 2.56-2.77
Pd 0.0000 0.0000 0.3973  8 Cu 2.56
Pd 0.0000 0.0000 0.6027  8 Cu 2.56
Pd 0.0000 0.0000 0.8083  9 Cu 2.56-2.77

---

(3)
A relaxed Cu3Pd crystal. Source: the Alexandria database, functional PBEsol.

Computed properties:
Uncorrected energy = -19.33 eV per cell
Magnetic moment = 0.000 μB/atom
Space-group type = No. 221

Cell: 3.6502 3.6502 3.6502 Å, 90.00 90.00 90.00°
With the nearest neighbours (Å) after each atom.
Positions (direct):
Pd 0.0000 0.0000 0.0000  12 Cu 2.58
Cu 0.0000 0.5000 0.5000  8 Cu 2.58, 4 Pd 2.58
Cu 0.5000 0.5000 0.0000  8 Cu 2.58, 4 Pd 2.58
Cu 0.5000 0.0000 0.5000  8 Cu 2.58, 4 Pd 2.58

---

What is the uncorrected energy in the first record? -135.44 eV per cell